# 1
## Ba4Ga2Sn (PBE)

Data for a relaxed Ba4Ga2Sn crystal.

The structure in extended XYZ format:
```
7
Lattice="8.181 -2.171 0.000 8.181 2.171 0.000 -0.162 0.000 8.584" Properties=species:S:1:pos:R:3 pbc="T T T"
Ba 1.436 0.000 2.564
Ba 2.359 0.000 6.991
Ba 13.841 0.000 1.593
Ba 14.764 0.000 6.020
Ga 4.614 0.000 4.079
Ga 11.585 0.000 4.505
Sn 8.181 0.000 0.000
```

## Properties
As for the calculated volume: 43.6 Å³/atom. As for the formation energy: -35.3 kJ/mol of atoms. As for the space group: C2/m.

# 2
## DyHoCd4 (PBE)

Data for a relaxed DyHoCd4 crystal.

The structure in extended XYZ format:
```
6
Lattice="3.430 0.000 0.000 0.000 4.976 0.000 -0.013 0.000 8.588" Properties=species:S:1:pos:R:3 pbc="T T T"
Dy 0.000 0.000 0.000
Ho -0.007 2.488 4.294
Cd 1.708 0.000 2.862
Cd 1.702 2.488 7.149
Cd 1.709 0.000 5.726
Cd 1.715 2.488 1.439
```

## Properties
As for the excess energy over the best structure of this formula in the dataset: 0.0 meV per atom. As for the calculated volume: 24.4 Å³/atom. As for the formation energy: -30.2 kJ/mol of atoms. As for the space group: P2/m.

# 3
## LiIn2ReAu (PBE)

Data for a relaxed LiIn2ReAu crystal.

The structure in extended XYZ format:
```
5
Lattice="5.209 0.000 0.000 0.000 5.209 0.000 0.000 0.000 4.891" Properties=species:S:1:pos:R:3 pbc="T T T"
Li 0.000 0.000 0.000
In 0.000 2.604 2.445
In 2.604 0.000 2.445
Re 0.000 0.000 2.445
Au 2.604 2.604 0.000
```

## Properties
As for the calculated volume: 26.5 Å³/atom. As for the formation energy: 90.3 kJ/mol of atoms. As for the space group: P4/mmm.

# 4
## CeCdPd (PBE)

Data for a relaxed CeCdPd crystal.

The structure in extended XYZ format:
```
3
Lattice="0.000 3.390 3.390 3.390 0.000 3.390 3.390 3.390 0.000" Properties=species:S:1:pos:R:3 pbc="T T T"
Ce 0.000 0.000 0.000
Cd 3.390 3.390 3.390
Pd 1.695 1.695 1.695
```

## Properties
As for the calculated volume: 26.0 Å³/atom. As for the formation energy: -41.2 kJ/mol of atoms. As for the space group: F-43m.

# 5
## Nd2Zn2Pd3 (PBE)

Data for a relaxed Nd2Zn2Pd3 crystal.

The structure in extended XYZ format:
```
14
Lattice="2.054 -9.470 0.000 2.054 9.470 0.000 0.000 0.000 7.470" Properties=species:S:1:pos:R:3 pbc="T T T"
Nd 2.054 8.313 5.603
Nd 2.054 6.529 1.868
Nd 2.054 -6.529 5.603
Nd 2.054 -8.313 1.868
Zn 2.054 3.662 0.407
Zn 2.054 3.662 3.328
Zn 2.054 -3.662 4.142
Zn 2.054 -3.662 7.063
Pd 2.054 5.227 5.603
Pd 2.054 1.232 4.211
Pd 2.054 1.232 6.995
Pd 2.054 -1.232 0.476
Pd 2.054 -1.232 3.260
Pd 2.054 -5.227 1.868
```

## Properties
As for the excess energy over the best structure of this formula in the dataset: 0.0 meV per atom. As for the calculated volume: 20.8 Å³/atom. As for the formation energy: -65.8 kJ/mol of atoms. As for the space group: Cmcm.

# 6
## ReHg2P (PBE)

Data for a relaxed ReHg2P crystal.

The structure in extended XYZ format:
```
4
Lattice="2.992 0.000 0.000 0.000 5.703 0.000 -0.330 0.000 4.463" Properties=species:S:1:pos:R:3 pbc="T T T"
Re 0.000 0.000 0.000
Hg 0.656 2.851 1.116
Hg 2.006 2.851 3.346
P 1.331 0.000 2.231
```

## Properties
As for the calculated volume: 19.0 Å³/atom. As for the formation energy: 88.9 kJ/mol of atoms. As for the space group: P2/m.

# 7
## TiCdNi2P (PBE)

Data for a relaxed TiCdNi2P crystal.

The structure in extended XYZ format:
```
5
Lattice="4.325 0.000 0.000 0.000 4.325 0.000 0.000 0.000 5.292" Properties=species:S:1:pos:R:3 pbc="T T T"
Ti 0.000 0.000 0.000
Cd 0.000 0.000 2.646
Ni 0.000 2.162 0.000
Ni 2.162 0.000 0.000
P 2.162 2.162 2.646
```

## Properties
As for the calculated volume: 19.8 Å³/atom. As for the formation energy: 117.2 kJ/mol of atoms. As for the space group: P4/mmm.

# 8
## ReHg2O2F4 (PBE)

Data for a relaxed ReHg2O2F4 crystal.

The structure in extended XYZ format:
```
9
Lattice="4.057 -4.031 0.000 4.057 4.031 0.000 -0.893 0.000 5.232" Properties=species:S:1:pos:R:3 pbc="T T T"
Re 0.000 0.000 0.000
Hg 2.436 0.000 3.139
Hg 4.784 0.000 2.094
O 0.569 0.000 4.195
O 6.651 0.000 1.038
F 2.339 2.678 4.080
F 4.881 2.678 1.153
F 2.339 -2.678 4.080
F 4.881 -2.678 1.153
```

## Properties
As for the calculated volume: 19.0 Å³/atom. The value obtained for the raw formation energy is -36.0 kcal/mol of atoms. As for the space group: C2/m.

# 9
## AgGe2Rh2 (PBE)

Data for a relaxed AgGe2Rh2 crystal.

The structure in extended XYZ format:
```
10
Lattice="7.299 0.000 0.000 0.000 7.299 0.000 0.000 0.000 2.886" Properties=species:S:1:pos:R:3 pbc="T T T"
Ag 0.000 0.000 0.000
Ag 3.649 3.649 0.000
Ge 1.094 2.555 0.000
Ge 2.555 6.205 0.000
Ge 4.743 1.094 0.000
Ge 6.205 4.743 0.000
Rh 1.056 4.705 1.443
Rh 2.594 1.056 1.443
Rh 4.705 6.243 1.443
Rh 6.243 2.594 1.443
```

## Properties
As for the excess energy over the best structure of this formula in the dataset: 0.0 meV per atom. As for the calculated volume: 15.4 Å³/atom. As for the formation energy: -30.5 kJ/mol of atoms. As for the space group: P4/mbm.

# 10
## LiMgSnAu (PBE)

Data for a relaxed LiMgSnAu crystal.

The structure in extended XYZ format:
```
4
Lattice="0.000 3.356 3.356 3.356 0.000 3.356 3.356 3.356 0.000" Properties=species:S:1:pos:R:3 pbc="T T T"
Li 0.000 0.000 0.000
Mg 1.678 1.678 1.678
Sn 5.034 5.034 5.034
Au 3.356 3.356 3.356
```

## Properties
As for the calculated volume: 18.9 Å³/atom. As for the formation energy: -38.3 kJ/mol of atoms. As for the space group: F-43m.

# 11
## SbI2NF (PBE)

Data for a relaxed SbI2NF crystal.

The structure in extended XYZ format:
```
5
Lattice="6.253 0.000 0.000 0.000 6.253 0.000 0.000 0.000 3.323" Properties=species:S:1:pos:R:3 pbc="T T T"
Sb 0.000 0.000 0.000
I 0.000 3.127 1.661
I 3.127 0.000 1.661
N 3.127 3.127 0.000
F 3.127 3.127 1.661
```

## Properties
As for the excess energy over the best structure of this formula in the dataset: 565.8 meV per atom. As for the calculated volume: 26.0 Å³/atom. The value obtained for the raw formation energy is 25.7 kcal/mol of atoms. As for the space group: P4/mmm.

# 12
## Sc2NiPb (PBE)

Data for a relaxed Sc2NiPb crystal.

The structure in extended XYZ format:
```
8
Lattice="-3.740 3.740 3.129 3.740 -3.740 3.129 3.740 3.740 -3.129" Properties=species:S:1:pos:R:3 pbc="T T T"
Sc 5.611 1.453 -0.782
Sc 1.453 1.870 0.782
Sc -1.870 2.288 2.346
Sc 2.288 1.870 3.911
Ni 0.000 0.000 0.000
Ni 0.000 3.740 1.564
Pb 3.740 0.000 1.564
Pb 0.000 0.000 3.129
```

## Properties
As for the calculated volume: 21.9 Å³/atom. As for the formation energy: -11.0 kJ/mol of atoms. As for the space group: I-42d.

# 13
## Na2LiSnN (PBE)

Data for a relaxed Na2LiSnN crystal.

The structure in extended XYZ format:
```
5
Lattice="5.127 0.000 0.000 0.000 5.127 0.000 0.000 0.000 4.905" Properties=species:S:1:pos:R:3 pbc="T T T"
Na 0.000 2.564 0.000
Na 2.564 0.000 0.000
Li 0.000 0.000 0.000
Sn 0.000 0.000 2.453
N 2.564 2.564 2.453
```

## Properties
As for the calculated volume: 25.8 Å³/atom. The value obtained for the raw formation energy is 23.7 kcal/mol of atoms. As for the space group: P4/mmm.

# 14
## Ta3SiOs (PBE)

Data for a relaxed Ta3SiOs crystal.

The structure in extended XYZ format:
```
5
Lattice="4.828 0.000 0.000 0.000 4.828 0.000 0.000 0.000 4.828" Properties=species:S:1:pos:R:3 pbc="T T T"
Ta 0.000 0.000 2.414
Ta 0.000 2.414 0.000
Ta 2.414 0.000 0.000
Si 2.414 2.414 2.414
Os 0.000 0.000 0.000
```

## Properties
As for the excess energy over the best structure of this formula in the dataset: 1619.0 meV per atom. As for the calculated volume: 22.5 Å³/atom. The value obtained for the raw formation energy is 29.1 kcal/mol of atoms. As for the space group: Pm-3m.

# 15
## Sc2CdW (PBE)

Data for a relaxed Sc2CdW crystal.

The structure in extended XYZ format:
```
8
Lattice="-2.077 2.077 9.876 2.077 -2.077 9.876 2.077 2.077 -9.876" Properties=species:S:1:pos:R:3 pbc="T T T"
Sc 3.115 0.979 -2.469
Sc 0.979 1.038 2.469
Sc -1.038 1.098 7.407
Sc 1.098 1.038 12.345
Cd 2.077 0.000 4.938
Cd 0.000 0.000 9.876
W 0.000 0.000 0.000
W 0.000 2.077 4.938
```

## Properties
As for the calculated volume: 21.3 Å³/atom. As for the formation energy: 73.9 kJ/mol of atoms. As for the space group: I-42d.

# 16
## Si2SbP (PBE)

Data for a relaxed Si2SbP crystal.

The structure in extended XYZ format:
```
4
Lattice="-1.912 1.912 5.172 1.912 -1.912 5.172 1.912 1.912 -5.172" Properties=species:S:1:pos:R:3 pbc="T T T"
Si 0.000 0.000 0.000
Si 0.000 1.912 2.586
Sb 0.000 0.000 5.172
P 1.912 0.000 2.586
```

## Properties
As for the excess energy over the best structure of this formula in the dataset: 425.7 meV per atom. As for the calculated volume: 18.9 Å³/atom. The value obtained for the raw formation energy is 15.0 kcal/mol of atoms. As for the space group: I-4m2.

# 17
## BaPuZn2Pt2 (PBE)

Data for a relaxed BaPuZn2Pt2 crystal.

The structure in extended XYZ format:
```
6
Lattice="4.544 0.000 0.000 -2.272 3.936 0.000 0.000 0.000 7.897" Properties=species:S:1:pos:R:3 pbc="T T T"
Ba 0.000 0.000 0.000
Pu 0.000 0.000 3.949
Zn 0.000 2.624 5.547
Zn 2.272 1.312 2.351
Pt 0.000 2.624 2.477
Pt 2.272 1.312 5.420
```

## Properties
As for the calculated volume: 23.5 Å³/atom. As for the formation energy: -63.7 kJ/mol of atoms. As for the space group: P-3m1.

# 18
## Ca3MgGa2 (PBE)

Data for a relaxed Ca3MgGa2 crystal.

The structure in extended XYZ format:
```
6
Lattice="3.728 0.000 0.000 0.000 3.728 0.000 0.000 0.000 11.526" Properties=species:S:1:pos:R:3 pbc="T T T"
Ca 0.000 0.000 0.000
Ca 0.000 0.000 3.562
Ca 0.000 0.000 7.963
Mg 1.864 1.864 5.763
Ga 1.864 1.864 1.814
Ga 1.864 1.864 9.712
```

## Properties
As for the calculated volume: 26.7 Å³/atom. As for the formation energy: -32.0 kJ/mol of atoms. As for the space group: P4/mmm.

# 19
## LiCrBr (PBE)

Data for a relaxed LiCrBr crystal.

The structure in extended XYZ format:
```
3
Lattice="-1.673 1.673 5.664 1.673 -1.673 5.664 1.673 1.673 -5.664" Properties=species:S:1:pos:R:3 pbc="T T T"
Li 0.000 0.000 0.000
Cr 0.000 0.000 7.885
Br 0.000 0.000 4.247
```

## Properties
As for the excess energy over the best structure of this formula in the dataset: 70.1 meV per atom. As for the calculated volume: 21.1 Å³/atom. The value obtained for the raw formation energy is 1.9 kcal/mol of atoms. As for the space group: I4mm.

# 20
## SrCrMo2 (PBE)

Data for a relaxed SrCrMo2 crystal.

The structure in extended XYZ format:
```
4
Lattice="3.049 0.000 0.000 0.000 4.073 0.000 -1.364 0.000 6.860" Properties=species:S:1:pos:R:3 pbc="T T T"
Sr 0.000 0.000 0.000
Cr 1.109 2.037 2.342
Mo 0.250 2.037 4.389
Mo 2.121 0.000 3.281
```

## Properties
As for the excess energy over the best structure of this formula in the dataset: 42.2 meV per atom. As for the calculated volume: 21.3 Å³/atom. As for the formation energy: 68.3 kJ/mol of atoms. As for the space group: Pm.